[1]
Density functional theory data (GGA-PBE) for an optimized crystal structure of Be2BH.

Properties
The energy above the most stable polymorph in this dataset is 0.139 eV per atom. Its space group is P1. For the density of states at the Fermi level, the calculation gives 0.816 states/eV per cell.

```
8
Lattice="3.311 -0.002 0.005 0.563 3.781 -0.001 1.436 0.950 4.472" Properties=species:S:1:pos:R:3 pbc="T T T"
Be 3.440 3.229 1.656
Be 1.432 1.028 0.821
Be 4.376 2.999 4.361
Be 2.044 4.324 2.796
B 2.715 2.398 3.310
B 3.116 1.348 1.879
H 1.865 1.625 3.877
H 2.720 3.431 0.284
```



[2]
Density functional theory data (GGA-PBE) for an optimized crystal structure of Be2BH.

Properties
The energy above the most stable polymorph in this dataset is 0.695 eV per atom. Its space group is I-42d. For the density of states at the Fermi level, the calculation gives 1.469 states/eV per cell.

```
8
Lattice="3.945 0.000 0.000 0.000 3.945 0.000 1.972 1.972 3.921" Properties=species:S:1:pos:R:3 pbc="T T T"
Be 2.561 0.986 0.980
Be 1.384 2.958 0.980
Be 2.958 3.356 2.941
Be 4.931 4.533 2.941
B 0.000 0.000 0.000
B 3.945 1.972 1.961
H 1.972 1.972 0.000
H 1.972 3.945 1.961
```



[3]
Density functional theory data (GGA-PBE) for an optimized crystal structure of Be2BH.

Properties
The energy above the most stable polymorph in this dataset is 0.120 eV per atom. Its space group is Cm. For the density of states at the Fermi level, the calculation gives 0.645 states/eV per cell.

```
16
Lattice="-0.374 -4.442 -2.790 2.081 1.257 -2.280 5.151 -1.223 4.028" Properties=species:S:1:pos:R:3 pbc="T T T"
Be 0.027 -2.468 -1.336
Be 3.643 -2.451 -0.462
Be 3.721 -3.905 1.244
Be 2.186 -2.665 -1.910
Be 0.922 -1.404 0.067
Be 4.538 -1.387 0.941
Be 2.606 -4.881 -0.312
Be 1.071 -3.641 -3.466
B 1.905 -3.103 0.029
B 5.521 -3.086 0.903
B 2.532 -1.927 1.249
B 0.997 -0.687 -1.905
H 3.686 -5.125 0.540
H 2.151 -3.885 -2.614
H 1.803 -0.875 1.163
H 5.418 -0.858 2.037
```



[4]
Density functional theory data (GGA-PBE) for an optimized crystal structure of BeBH6I.

Properties
Its space group is P312. The total energy comes out at -3.215 eV/atom. For the density of states at the Fermi level, the calculation gives 1.560 states/eV per cell.

```
9
Lattice="-2.132 2.904 -0.943 -3.364 -0.570 -1.494 -2.510 -0.009 5.651" Properties=species:S:1:pos:R:3 pbc="T T T"
Be -4.919 1.552 1.200
B -3.086 0.773 2.013
H -2.202 -0.119 1.379
H -2.544 1.061 3.280
H -4.158 1.503 2.565
H -3.701 -0.248 2.765
H -3.665 0.746 0.729
H -2.250 1.701 1.359
I -8.005 2.326 3.214
```



[5]
Density functional theory data (GGA-PBE) for an optimized crystal structure of KBeB2H8.

Properties
Its space group is C2/m. The total energy comes out at -3.741 eV/atom. For the density of states at the Fermi level, the calculation gives 2.531 states/eV per cell.

```
12
Lattice="4.544 0.093 -0.097 2.179 3.989 -0.097 0.151 0.092 6.770" Properties=species:S:1:pos:R:3 pbc="T T T"
K 0.076 0.046 3.385
Be 0.000 0.000 0.000
B 4.507 2.736 1.302
B 2.367 1.437 5.274
H 3.413 0.877 5.712
H 5.503 3.341 0.813
H 4.537 2.755 2.528
H 2.337 1.419 4.048
H 1.371 0.833 5.763
H 2.353 2.624 5.712
H 4.521 1.550 0.864
H 3.461 3.296 0.864
```



[6]
Density functional theory data (GGA-PBE) for an optimized crystal structure of Mg2BeBH.

Properties
Its space group is P4/mmm. The total energy comes out at -2.665 eV/atom. For the density of states at the Fermi level, the calculation gives 1.857 states/eV per cell.

```
5
Lattice="4.732 0.000 0.000 0.000 2.965 0.000 0.000 0.000 4.732" Properties=species:S:1:pos:R:3 pbc="T T T"
Be 2.366 1.482 2.366
Mg 0.000 0.000 2.366
Mg 2.366 0.000 0.000
B 0.000 0.000 0.000
H 0.000 1.482 0.000
```



[7]
Density functional theory data (GGA-PBE) for an optimized crystal structure of MgBeBH2.

Properties
Its space group is P4/mmm. The total energy comes out at -2.598 eV/atom. For the density of states at the Fermi level, the calculation gives 2.063 states/eV per cell.

```
5
Lattice="3.231 0.000 0.000 0.000 5.324 0.000 0.000 0.000 3.231" Properties=species:S:1:pos:R:3 pbc="T T T"
Be 1.616 2.662 1.616
Mg 0.000 2.662 0.000
B 0.000 0.000 0.000
H 0.000 0.000 1.616
H 1.616 0.000 0.000
```



[8]
Density functional theory data (GGA-PBE) for an optimized crystal structure of Be2BHO4.

Properties
Its space group is Pbca. The total energy comes out at -7.043 eV/atom. For the density of states at the Fermi level, the calculation gives 0.000 states/eV per cell.

```
64
Lattice="4.457 0.000 0.000 0.000 9.903 0.000 0.000 0.000 12.252" Properties=species:S:1:pos:R:3 pbc="T T T"
Be 1.231 2.363 0.838
Be 3.460 2.588 11.414
Be 3.226 7.314 5.288
Be 3.387 0.039 3.809
Be 3.226 7.540 11.414
Be 0.997 7.314 0.838
Be 1.231 2.588 6.963
Be 3.460 2.363 5.288
Be 1.158 4.913 8.442
Be 1.071 4.990 2.317
Be 3.299 9.864 9.935
Be 1.071 9.864 8.442
Be 3.299 4.990 3.809
Be 3.387 4.913 9.935
Be 0.997 7.540 6.963
Be 1.158 0.039 2.317
B 1.213 1.071 4.807
B 3.441 1.071 1.319
B 1.213 3.880 10.932
B 1.016 6.023 4.807
B 3.245 8.832 7.445
B 1.016 8.832 10.932
B 3.245 6.023 1.319
B 3.441 3.880 7.445
H 4.281 3.149 3.388
H 4.281 1.802 9.513
H 2.405 8.101 3.388
H 0.176 6.754 8.864
H 2.405 6.754 9.513
H 0.176 8.101 2.738
H 2.053 1.802 8.864
H 2.053 3.149 2.738
O 2.754 0.382 2.298
O 2.592 3.927 10.974
O 4.094 5.976 4.849
O 1.865 8.878 7.403
O 4.094 8.878 10.974
O 1.865 5.976 1.277
O 0.364 3.927 7.403
O 2.592 1.024 4.849
O 2.748 1.867 0.431
O 0.519 3.084 11.821
O 1.710 6.819 5.695
O 3.938 8.035 6.557
O 0.364 1.024 1.277
O 3.938 6.819 0.431
O 2.748 3.084 6.557
O 0.519 1.867 5.695
O 1.710 8.035 11.821
O 3.538 1.569 10.119
O 3.147 8.334 3.994
O 0.919 6.520 8.258
O 3.147 6.520 10.119
O 0.919 8.334 2.132
O 1.310 1.569 8.258
O 3.538 3.383 3.994
O 0.526 0.382 3.827
O 2.754 4.570 8.424
O 3.932 5.333 2.298
O 1.703 9.521 9.953
O 3.932 9.521 8.424
O 1.703 5.333 3.827
O 0.526 4.570 9.953
O 1.310 3.383 2.132
```



[9]
Density functional theory data (GGA-PBE) for an optimized crystal structure of Sr3Be2B5HO13.

Properties
Its space group is Cm. The total energy comes out at -7.357 eV/atom. For the density of states at the Fermi level, the calculation gives 0.000 states/eV per cell.

```
24
Lattice="6.717 0.001 0.000 -1.347 6.581 0.000 1.507 1.847 6.129" Properties=species:S:1:pos:R:3 pbc="T T T"
Sr 0.794 5.711 6.003
Sr 0.660 0.809 2.495
Sr 5.436 1.925 6.003
Be 5.039 3.871 3.483
Be 2.780 5.714 3.483
B 4.366 5.352 5.579
B 0.582 4.538 2.653
B 4.329 1.481 2.653
B 1.681 2.060 5.808
B 2.733 3.350 1.927
H 2.976 3.648 3.930
O 6.279 1.374 0.154
O 6.329 7.758 4.990
O 0.086 6.427 0.154
O 3.350 4.106 3.144
O 3.246 3.978 0.738
O 5.943 4.611 2.425
O 3.324 6.748 2.425
O 3.276 5.936 4.999
O 1.273 3.456 2.065
O 5.150 2.276 3.397
O 5.157 4.401 4.999
O 1.196 5.502 3.397
O 3.131 1.941 2.065
```



[10]
Density functional theory data (GGA-PBE) for an optimized crystal structure of Be2BPH.

Properties
Its space group is P4/mmm. The total energy comes out at -3.790 eV/atom. For the density of states at the Fermi level, the calculation gives 1.479 states/eV per cell.

```
5
Lattice="3.617 0.000 0.000 0.000 3.946 0.000 0.000 0.000 3.617" Properties=species:S:1:pos:R:3 pbc="T T T"
P 0.000 1.973 0.000
B 0.000 0.000 0.000
H 1.809 1.973 1.809
Be 0.000 0.000 1.809
Be 1.809 0.000 0.000
```



[11]
Density functional theory data (GGA-PBE) for an optimized crystal structure of BeBH2Pd.

Properties
Its space group is P4/mmm. The total energy comes out at -3.653 eV/atom. For the density of states at the Fermi level, the calculation gives 1.392 states/eV per cell.

```
5
Lattice="3.187 0.000 0.000 0.000 4.884 0.000 0.000 0.000 3.187" Properties=species:S:1:pos:R:3 pbc="T T T"
Be 0.000 2.442 0.000
B 1.594 2.442 1.594
Pd 0.000 0.000 0.000
H 0.000 0.000 1.594
H 1.594 0.000 0.000
```



[12]
Density functional theory data (GGA-PBE) for an optimized crystal structure of RbBeB2H8.

Properties
Its space group is C2/m. The total energy comes out at -3.727 eV/atom. For the density of states at the Fermi level, the calculation gives 2.264 states/eV per cell.

```
12
Lattice="4.602 0.090 -0.100 2.203 4.041 -0.100 0.157 0.096 7.077" Properties=species:S:1:pos:R:3 pbc="T T T"
Rb 0.079 0.048 3.539
Be 0.000 0.000 0.000
B 4.558 2.768 1.275
B 2.404 1.460 5.603
H 3.453 0.897 6.033
H 5.557 3.374 0.793
H 4.588 2.786 2.501
H 2.374 1.441 4.376
H 1.405 0.853 6.085
H 2.389 2.649 6.033
H 4.573 1.578 0.845
H 3.510 3.330 0.845
```